Here is crystalline CsBaCr3F12 at its relaxed geometry from the Alexandria database. Energies are from PBE with a Hubbard U.

```
CsBaCr3F12
1.0
-8.571 2.614 4.652
-8.651 0.463 -5.186
-10.736 -10.661 2.418
Cs Ba Cr F
4 4 12 48
Cartesian
-17.053 -9.345 1.047
-11.667 -3.541 2.002
-10.906 1.761 0.837
-16.291 -4.043 -0.118
-6.368 1.916 3.434
-11.794 -5.001 -2.612
-16.164 -2.583 4.496
-21.591 -9.500 -1.549
-13.070 -7.637 0.417
-18.072 0.120 -0.424
-23.432 -4.983 1.823
-13.169 -1.482 -1.465
-14.789 -6.103 3.349
-14.888 0.053 1.467
-9.450 -1.563 -1.477
-7.681 -1.739 1.801
-4.526 -2.601 0.062
-9.886 -7.704 2.308
-18.508 -6.021 3.361
-20.277 -5.845 0.083
-14.566 -5.697 -2.888
-12.655 -2.255 -3.219
-11.806 -7.683 1.920
-9.592 -6.032 1.459
-15.069 -1.659 -1.928
-9.994 -1.590 -3.386
-7.558 -1.602 -2.002
-13.016 0.360 -2.054
-9.132 1.408 4.018
-16.694 -7.290 -2.262
-14.765 -4.280 2.771
-11.305 -1.392 -0.876
-15.303 -5.329 5.104
-13.688 -9.316 1.091
-23.734 -6.857 1.754
-20.400 -5.983 3.886
-16.152 0.099 -0.036
-14.492 -7.697 -0.917
-9.082 -1.232 3.060
-12.889 -5.925 3.813
-14.270 1.731 0.794
-7.016 0.034 1.684
-17.964 -5.994 5.271
-13.467 0.112 2.802
-21.518 -5.171 1.449
-19.654 -4.040 -0.015
-18.366 -1.552 0.425
-18.826 -8.992 -2.133
-14.942 -7.944 3.939
-15.549 -1.605 2.112
-13.586 -0.903 0.356
-13.194 -3.304 -0.886
-18.954 -6.254 1.472
-9.423 0.335 -1.713
-13.392 -1.887 4.773
-4.225 -0.728 0.130
-16.653 -6.192 2.761
-9.606 -3.482 -1.242
-12.409 -5.979 -0.227
-18.352 -4.102 3.126
-6.440 -2.413 0.435
-8.304 -3.544 1.899
-11.264 -0.294 4.146
-9.004 -1.330 0.412
-18.535 -7.919 3.597
-20.942 -7.618 0.200
-18.877 -6.352 -1.176
-14.373 -6.681 1.529
```

DFT total energy (eV per atom): -5.81
Calculated density (Mg/m³): 3.89
Crystal system: monoclinic